Here is a geometry-optimized CdAgC2O6 structure from Alexandria. Energies are from PBE.

## Properties
Energy relative to the elements, uncorrected = -1.05 eV/atom
Magnetic moment = 0.00 μB per formula unit
Space group = C2/c, No. 15
DOS at the Fermi energy = 5.4 states/eV per cell

Cell and atoms, written as POSCAR:
```
CdAgC2O6
1.0
6.533 -0.332 0.202
-1.129 6.443 0.202
-1.378 -1.559 5.882
O Ag C Cd
12 2 4 2
Cartesian
3.150 2.294 3.937
5.411 2.586 1.733
-1.385 1.967 4.553
3.589 5.239 2.665
2.580 4.187 0.997
-0.045 1.129 0.680
0.437 -0.686 3.621
2.811 -0.355 1.613
1.446 0.366 5.290
4.071 3.424 5.606
1.215 4.907 4.674
0.876 2.259 2.349
-0.599 5.280 1.673
4.625 -0.728 4.614
4.137 2.441 4.762
-0.111 2.112 1.524
1.421 -0.631 4.465
2.605 5.184 1.821
3.167 1.950 1.673
0.858 2.603 4.614
```